Record 1
Density functional theory data (GGA-PBE) for crystalline Li2CdRuF8 at its relaxed geometry.

Space-group type: C2/m (12)
Crystal system: monoclinic

```
Li2CdRuF8
1.0
4.7507 0.0886 -0.0007
0.1333 4.7519 -0.0027
0.0078 0.0108 6.8660
F Cd Ru Li
8 1 1 2
Direct
0.7237 0.7251 0.0005 F
0.7980 0.2030 0.2156 F
0.2763 0.2749 0.9995 F
0.2020 0.7970 0.2156 F
0.6871 0.6882 0.5001 F
0.7980 0.2030 0.7844 F
0.3129 0.3118 0.4999 F
0.2020 0.7970 0.7844 F
0.0000 0.0000 0.5000 Cd
0.0000 0.0000 0.0000 Ru
0.5005 0.5005 0.2854 Li
0.4995 0.4995 0.7146 Li
```

=====

Record 2
Density functional theory data (GGA-PBE) for crystalline Li2CdSbF at its relaxed geometry.

Space-group type: P4/mmm (123)
Crystal system: tetragonal

```
Li2CdSbF
1.0
-2.3469 2.4258 2.4770
-1.5146 -3.4080 1.9025
3.8797 0.2119 3.4683
Cd Li F Sb
1 2 1 1
Direct
0.0000 0.0000 0.5000 Cd
0.0000 0.5000 0.0000 Li
0.5000 0.0000 0.0000 Li
0.0000 0.0000 0.0000 F
0.5000 0.5000 0.5000 Sb
```

=====

Record 3
Density functional theory data (GGA-PBE) for crystalline Li2ScCdF8 at its relaxed geometry.

Space-group type: Cmmm (65)
Crystal system: orthorhombic

```
Li2ScCdF8
1.0
4.7394 -0.0682 -0.0028
-0.0317 4.7396 -0.0050
0.0041 0.0071 6.7110
F Cd Li Sc
8 1 2 1
Direct
0.1989 0.8002 0.2326 F
0.3016 0.3006 0.0000 F
0.8011 0.1998 0.7674 F
0.6984 0.6994 0.0000 F
0.6791 0.6800 0.5000 F
0.8011 0.1998 0.2326 F
0.3209 0.3200 0.5000 F
0.1989 0.8002 0.7674 F
0.0000 0.0000 0.5000 Cd
0.5000 0.5000 0.2328 Li
0.5000 0.5000 0.7672 Li
0.0000 0.0000 0.0000 Sc
```

=====

Record 4
Density functional theory data (GGA-PBE) for crystalline LiScCdF6 at its relaxed geometry.

Space-group type: P-31c (163)
Crystal system: trigonal

```
LiScCdF6
1.0
-1.0297 -1.6989 4.9250
1.3511 -3.4768 -3.7800
9.3714 1.0993 2.3385
Cd F Li Sc
2 12 2 2
Direct
0.0000 0.0000 0.5000 Cd
0.0000 0.0000 0.0000 Cd
0.0041 0.6527 0.3635 F
0.3515 0.0041 0.6365 F
0.6485 0.6527 0.1365 F
0.3515 0.3473 0.8635 F
0.3473 0.3515 0.3635 F
0.9959 0.3473 0.6365 F
0.6527 0.0041 0.8635 F
0.0041 0.3515 0.1365 F
0.6527 0.6485 0.6365 F
0.6485 0.9959 0.3635 F
0.3473 0.9959 0.1365 F
0.9959 0.6485 0.8635 F
0.6667 0.3333 0.2500 Li
0.3333 0.6667 0.7500 Li
0.3333 0.6667 0.2500 Sc
0.6667 0.3333 0.7500 Sc
```

=====

Record 5
Density functional theory data (GGA-PBE) for crystalline LiCd2SnF8 at its relaxed geometry.

Space-group type: P2/m (10)
Crystal system: monoclinic

```
LiCd2SnF8
1.0
-2.6631 -4.0780 1.4348
-1.1271 -0.8156 -4.9257
5.7049 -3.9543 -0.6509
F Li Cd Sn
8 1 2 1
Direct
0.3028 0.3010 0.5000 F
0.7155 0.7154 0.0000 F
0.1884 0.8116 0.7350 F
0.8116 0.1884 0.7350 F
0.8116 0.1884 0.2650 F
0.6972 0.6990 0.5000 F
0.1884 0.8116 0.2650 F
0.2845 0.2846 0.0000 F
0.0000 0.0000 0.0000 Li
0.5000 0.5000 0.2342 Cd
0.5000 0.5000 0.7658 Cd
0.0000 0.0000 0.5000 Sn
```

=====

Record 6
Density functional theory data (GGA-PBE) for crystalline SrLiCd2F8 at its relaxed geometry.

Space-group type: P-1 (2)
Crystal system: triclinic

```
SrLiCd2F8
1.0
3.9438 -0.0019 -0.0013
0.0122 5.5613 0.0003
0.0054 0.0172 7.6198
F Sr Cd Li
8 1 2 1
Direct
0.4993 0.2655 0.5004 F
0.5007 0.7345 0.4996 F
0.5003 0.7578 0.9992 F
0.9996 0.2560 0.7684 F
0.9997 0.2590 0.2326 F
0.4997 0.2422 0.0008 F
0.0003 0.7410 0.7674 F
0.0004 0.7440 0.2316 F
0.0000 0.0000 0.5000 Sr
0.5001 0.5008 0.2368 Cd
0.4999 0.4992 0.7632 Cd
0.0000 0.0000 0.0000 Li
```

=====

Record 7
Density functional theory data (GGA-PBE) for crystalline Sr2LiCdF at its relaxed geometry.

Space-group type: P4/mmm (123)
Crystal system: tetragonal

```
Sr2LiCdF
1.0
-1.7018 -1.8103 -4.9459
-0.3070 -5.1548 1.9923
-4.0439 0.6821 1.1418
Sr Cd F Li
2 1 1 1
Direct
0.5000 0.0000 0.0000 Sr
0.0000 0.5000 0.0000 Sr
0.5000 0.5000 0.5000 Cd
0.0000 0.0000 0.0000 F
0.0000 0.0000 0.5000 Li
```

=====

Record 8
Density functional theory data (GGA-PBE) for crystalline LiCdTcF6 at its relaxed geometry.

Space-group type: P-31c (163)
Crystal system: trigonal

```
LiCdTcF6
1.0
-1.3017 -0.8148 5.0819
3.8934 -2.8372 -2.2306
6.5199 6.7794 2.7572
F Cd Tc Li
12 2 2 2
Direct
0.9968 0.3490 0.1361 F
0.3490 0.3522 0.8639 F
0.3522 0.3490 0.3639 F
0.0032 0.3522 0.6361 F
0.9968 0.6478 0.3639 F
0.6510 0.6478 0.1361 F
0.3522 0.0032 0.1361 F
0.6478 0.6510 0.6361 F
0.6510 0.0032 0.3639 F
0.3490 0.9968 0.6361 F
0.0032 0.6510 0.8639 F
0.6478 0.9968 0.8639 F
0.0000 0.0000 0.0000 Cd
0.0000 0.0000 0.5000 Cd
0.3333 0.6667 0.7500 Tc
0.6667 0.3333 0.2500 Tc
0.6667 0.3333 0.7500 Li
0.3333 0.6667 0.2500 Li
```

=====

Computed values of energy relative to the elements, uncorrected (unit: kJ/mol of formula units) for the preceding records, in sequence: -2601, -573, -3244, -2733, -2697, -2892, -589, -1901.
Computed values of M_tot (unit: μB/f.u.) for the preceding records, in sequence: 2.00, 0.00, 0.24, 0.00, 0.00, 1.12, 0.00, 2.00.